Record 1
{"formula": "MnAl3Fe7", "functional": "GGA-PBE", "state": "optimized geometry", "cell": [[2.5516, 0.0000, 0.0000], [-1.2758, 9.9611, 0.0000], [0.0000, 0.0000, 10.8277]], "species": ["Mn", "Mn", "Al", "Al", "Al", "Al", "Al", "Al", "Fe", "Fe", "Fe", "Fe", "Fe", "Fe", "Fe", "Fe", "Fe", "Fe", "Fe", "Fe", "Fe", "Fe"], "fractional_positions": [[0.0183, 0.0367, 0.2500], [0.9817, 0.9633, 0.7500], [0.1530, 0.3059, 0.4902], [0.8470, 0.6941, 0.5098], [0.1589, 0.3177, 0.7500], [0.8411, 0.6823, 0.2500], [0.1530, 0.3059, 0.0098], [0.8470, 0.6941, 0.9902], [0.3541, 0.7082, 0.7500], [0.6459, 0.2918, 0.2500], [0.5500, 0.0999, 0.4249], [0.4500, 0.9001, 0.5751], [0.4500, 0.9001, 0.9249], [0.5500, 0.0999, 0.0751], [0.4307, 0.8614, 0.3645], [0.5693, 0.1386, 0.6355], [0.2549, 0.5099, 0.3722], [0.7451, 0.4901, 0.6278], [0.7451, 0.4901, 0.8722], [0.2549, 0.5099, 0.1278], [0.4307, 0.8614, 0.1355], [0.5693, 0.1386, 0.8645]], "delta_e_f_ev_per_atom": 0.052}

Record 2
{"formula": "Mn2Al4Fe", "functional": "GGA-PBE", "state": "optimized geometry", "cell": [[-3.7839, -3.4170, -4.0501], [1.9950, -1.2742, -6.3096], [-0.8014, -6.4524, 0.5008]], "species": ["Mn", "Mn", "Mn", "Mn", "Al", "Al", "Al", "Al", "Al", "Al", "Al", "Al", "Fe", "Fe"], "fractional_positions": [[0.6057, 0.4819, 0.0607], [0.2801, 0.5488, 0.9064], [0.9819, 0.6091, 0.7145], [0.3064, 0.3133, 0.2652], [0.1388, 0.1808, 0.6598], [0.7013, 0.1136, 0.7953], [0.9877, 0.7736, 0.3512], [0.5790, 0.2669, 0.4534], [0.3332, 0.7320, 0.5493], [0.6504, 0.8425, 0.1671], [0.0255, 0.3264, 0.1061], [0.4354, 0.8443, 0.8884], [0.7815, 0.4539, 0.5713], [0.9431, 0.0129, 0.0113]], "delta_e_f_ev_per_atom": -0.143}

Record 3
{"formula": "MnAlFe6", "functional": "GGA-PBE", "state": "optimized geometry", "cell": [[6.2361, 0.0206, 0.0000], [-2.0944, 5.8740, 0.0000], [0.0000, 0.0000, 10.1853]], "species": ["Al", "Al", "Al", "Al", "Fe", "Fe", "Fe", "Fe", "Fe", "Fe", "Fe", "Fe", "Fe", "Fe", "Fe", "Fe", "Fe", "Fe", "Fe", "Fe", "Fe", "Fe", "Fe", "Fe", "Fe", "Fe", "Fe", "Fe", "Mn", "Mn", "Mn", "Mn"], "fractional_positions": [[0.2498, 0.7502, 0.7500], [0.7502, 0.2498, 0.7500], [0.5000, 0.5000, 0.4978], [0.5000, 0.5000, 0.0022], [0.2489, 0.7511, 0.4970], [0.8759, 0.6270, 0.6234], [0.1241, 0.3730, 0.6234], [0.7511, 0.2489, 0.4970], [0.3730, 0.1241, 0.6234], [0.6270, 0.8759, 0.6234], [0.5000, 0.5000, 0.2500], [0.1228, 0.3736, 0.3729], [0.3736, 0.1228, 0.3729], [0.2489, 0.7511, 0.0030], [0.8772, 0.6264, 0.1271], [0.1228, 0.3736, 0.1271], [0.7511, 0.2489, 0.0030], [0.3736, 0.1228, 0.1271], [0.6264, 0.8772, 0.1271], [0.5000, 0.5000, 0.7500], [0.1241, 0.3730, 0.8766], [0.3730, 0.1241, 0.8766], [0.0000, 0.0000, 0.2500], [0.6264, 0.8772, 0.3729], [0.8772, 0.6264, 0.3729], [0.0000, 0.0000, 0.7500], [0.6270, 0.8759, 0.8766], [0.8759, 0.6270, 0.8766], [0.2486, 0.7514, 0.2500], [0.7514, 0.2486, 0.2500], [0.0000, 0.0000, 0.4982], [0.0000, 0.0000, 0.0018]], "delta_e_f_ev_per_atom": -0.087}